## CsLi2UTe4 (PBE)

Data for crystalline CsLi2UTe4 at its relaxed geometry.

The value obtained for the uncorrected formation energy is -0.62 eV per atom. As for the crystal system: orthorhombic.

The space group is I222 (No. 23) and the conventional cell measures 7.8588, 7.8862 and 10.2171 Å, with angles of 90.00, 90.00 and 90.00 degrees. Symmetry generates all atoms from Cs at (0.0000, 0.0000, 0.0000), Li at (0.0000, 0.5000, 0.2503), U at (0.0000, 0.0000, 0.5000) and Te at (0.2002, 0.1990, 0.3198).

## Rb2PmF5 (PBE)

Data for crystalline Rb2PmF5 at its relaxed geometry.

The value obtained for the uncorrected formation energy is -3.46 eV per atom. Its energy above the most stable polymorph in this dataset is 0.0 kJ per mole of atoms. As for the crystal system: orthorhombic.

The space group is Pnma (No. 62) and the conventional cell measures 11.5425, 7.6653 and 6.9980 Å, with angles of 90.00, 90.00 and 90.00 degrees. Symmetry generates all atoms from Rb at (0.1714, 0.0028, 0.0346), Pm at (0.0043, 0.2500, 0.5583), F at (0.0135, 0.2500, 0.8842), F at (0.0735, 0.5334, 0.6441), F at (0.1652, 0.2500, 0.3731) and F at (0.1870, 0.7500, 0.3438).

## AcCeSi2 (PBE)

Data for crystalline AcCeSi2 at its relaxed geometry.

The value obtained for the uncorrected formation energy is -0.58 eV per atom. As for the crystal system: orthorhombic.

The space group is Pmc2_1 (No. 26) and the conventional cell measures 4.0258, 6.1333 and 8.4145 Å, with angles of 90.00, 90.00 and 90.00 degrees. Symmetry generates all atoms from Ac at (0.0000, 0.1273, 0.0000), Ce at (0.5000, 0.3648, 0.3604), Si at (0.0000, 0.3879, 0.6435) and Si at (0.5000, 0.1628, 0.7086).

## Nd6InCo2 (PBE)

Data for crystalline Nd6InCo2 at its relaxed geometry.

The formation energy comes out at -173.7 meV per atom. As for the crystal system: orthorhombic.

The space group is Immm (No. 71) and the conventional cell measures 9.6361, 10.0871 and 10.2963 Å, with angles of 90.00, 90.00 and 90.00 degrees. Symmetry generates all atoms from Nd at (0.0000, 0.2048, 0.2344), Nd at (0.1860, 0.5000, 0.1769), Nd at (0.2138, 0.3164, 0.5000), In at (0.0000, 0.0000, 0.0000), In at (0.0000, 0.0000, 0.5000), Co at (0.0000, 0.3376, 0.0000) and Co at (0.0000, 0.5000, 0.3896).

## Zr2CdBr (PBE)

Data for crystalline Zr2CdBr at its relaxed geometry.

The value obtained for the uncorrected formation energy is 0.03 eV per atom. Its energy above the most stable polymorph in this dataset is 37.6 kJ per mole of atoms. As for the crystal system: orthorhombic.

The space group is Pmmm (No. 47) and the conventional cell measures 3.3115, 5.0568 and 5.5546 Å, with angles of 90.00, 90.00 and 90.00 degrees. Symmetry generates all atoms from Zr at (0.0000, 0.0000, 0.0000), Zr at (0.5000, 0.0000, 0.5000), Cd at (0.0000, 0.5000, 0.5000) and Br at (0.5000, 0.5000, 0.0000).

## CuOsRu2 (PBE)

Data for crystalline CuOsRu2 at its relaxed geometry.

The formation energy comes out at 417.7 meV per atom. As for the crystal system: orthorhombic.

The space group is Immm (No. 71) and the conventional cell measures 2.8672, 4.3707 and 8.7029 Å, with angles of 90.00, 90.00 and 90.00 degrees. Symmetry generates all atoms from Cu at (0.0000, 0.0000, 0.0000), Os at (0.0000, 0.0000, 0.5000) and Ru at (0.0000, 0.5000, 0.2615).

## PaCrTcAs (PBE)

Data for crystalline PaCrTcAs at its relaxed geometry.

The formation energy comes out at -19.7 meV per atom. As for the crystal system: cubic.

The space group is F-43m (No. 216) and the conventional cell measures 6.4495, 6.4495 and 6.4495 Å, with angles of 90.00, 90.00 and 90.00 degrees. Symmetry generates all atoms from Pa at (0.0000, 0.0000, 0.0000), Cr at (0.2500, 0.2500, 0.2500), Tc at (0.2500, 0.2500, 0.7500) and As at (0.0000, 0.0000, 0.5000).

## SrMn2N2 (PBE)

Data for crystalline SrMn2N2 at its relaxed geometry.

The value obtained for the uncorrected formation energy is -0.20 eV per atom. As for the crystal system: tetragonal.

The space group is I4/mcm (No. 140) and the conventional cell measures 6.2230, 6.2230 and 8.9662 Å, with angles of 90.00, 90.00 and 90.00 degrees. Symmetry generates all atoms from Sr at (0.0000, 0.0000, 0.2500), Mn at (0.1358, 0.3642, 0.0000) and N at (0.1601, 0.3399, 0.5000).

no.,total magnetic moment (μB/cell)
1,1.97
2,0.81
3,2.11
4,0.00
5,0.00
6,0.00
7,3.12
8,15.22